Record 1
6
Lattice="0.000 4.237 4.237 4.237 0.000 4.237 4.237 4.237 0.000" Properties=species:S:1:pos:R:3 comment="MgAlCl4 (PBE, relaxed)" crystal_system=cubic sg="No. 216" e_form_raw_ev_per_atom=0.21 pbc="T T T"
Mg 0.000 0.000 0.000
Al 6.356 6.356 6.356
Cl 3.167 3.167 3.167
Cl 5.308 5.308 3.167
Cl 5.308 3.167 5.308
Cl 3.167 5.308 5.308

---

Record 2
5
Lattice="4.846 0.000 0.000 0.000 4.846 0.000 0.000 0.000 4.727" Properties=species:S:1:pos:R:3 comment="Zr2ScCdCl (PBE, relaxed)" crystal_system=tetragonal sg="No. 123" e_form_raw_ev_per_atom=-0.18 pbc="T T T"
Zr 0.000 2.423 0.000
Zr 2.423 0.000 0.000
Sc 0.000 0.000 2.363
Cd 2.423 2.423 2.363
Cl 0.000 0.000 0.000

---

Record 3
5
Lattice="5.323 0.000 0.000 0.000 5.323 0.000 0.000 0.000 5.024" Properties=species:S:1:pos:R:3 comment="NbCrSeBr2 (PBE, relaxed)" crystal_system=tetragonal de_polymorph_ev_per_atom=0.000 sg="No. 123" e_form_raw_ev_per_atom=0.15 pbc="T T T"
Nb 0.000 0.000 0.000
Cr 2.661 2.661 2.512
Se 0.000 0.000 2.512
Br 0.000 2.661 0.000
Br 2.661 0.000 0.000

---

Record 4
5
Lattice="4.787 0.000 0.000 0.000 4.787 0.000 0.000 0.000 4.787" Properties=species:S:1:pos:R:3 comment="Ca3RuN (PBE, relaxed)" crystal_system=cubic de_polymorph_ev_per_atom=0.000 sg="No. 221" e_form_raw_ev_per_atom=-0.08 pbc="T T T"
Ca 0.000 0.000 2.393
Ca 0.000 2.393 0.000
Ca 2.393 0.000 0.000
Ru 2.393 2.393 2.393
N 0.000 0.000 0.000

---

Record 5
4
Lattice="0.000 3.897 3.897 3.897 0.000 3.897 3.897 3.897 0.000" Properties=species:S:1:pos:R:3 comment="Pr2ErAg (PBE, relaxed)" crystal_system=cubic de_polymorph_ev_per_atom=0.141 sg="No. 225" delta_e_f_ev_per_atom=0.054 pbc="T T T"
Pr 1.948 1.948 1.948
Pr 5.845 5.845 5.845
Er 0.000 0.000 0.000
Ag 3.897 3.897 3.897

---

Record 6
5
Lattice="5.220 0.000 0.000 0.000 5.220 0.000 0.000 0.000 5.220" Properties=species:S:1:pos:R:3 comment="MnBeTl3 (PBE, relaxed)" crystal_system=cubic de_polymorph_ev_per_atom=0.212 sg="No. 221" delta_e_f_ev_per_atom=0.881 pbc="T T T"
Mn 0.000 0.000 0.000
Be 2.610 2.610 2.610
Tl 0.000 0.000 2.610
Tl 0.000 2.610 0.000
Tl 2.610 0.000 0.000

---

no.,total magnetization (μB per cell)
1,1.1
2,0.0
3,6.8
4,1.0
5,0.0
6,2.3